1.
This record from the Open Quantum Materials Database describes crystalline Ga3Tc at its relaxed geometry. The functional is PBE.

Cell: 6.4917 6.4917 7.0675 Å, 90.00 90.00 90.00°
With the nearest neighbours (Å) after each atom.
Space group P4_2/mnm (No. 136)
Inequivalent atoms, fractional coordinates:
Ga  0.0000  0.5000  0.0000 x4  2 Tc 2.49
Ga  0.1645  0.1645  0.2459 x8  3 Tc 2.51-2.65
Tc  0.1439  0.8561  0.0000 x4  8 Ga 2.49-2.65, 1 Tc 2.64

- Crystal system: tetragonal
- Total DFT energy (no corrections): -5.066 eV/atom
- Magnetic moment: 0.02 μB per cell

---

2.
This record from the Open Quantum Materials Database describes crystalline CdTc2Pt at its relaxed geometry. The functional is PBE.

Cell: 6.3790 6.3790 6.3790 Å, 90.00 90.00 90.00°
With the nearest neighbours (Å) after each atom.
Space group F-43m (No. 216)
Inequivalent atoms, fractional coordinates:
Cd  0.0000  0.0000  0.0000 x4  4 Tc 2.76, 4 Pt 2.76
Tc  0.0000  0.0000  0.5000 x4  4 Tc 2.76, 4 Pt 2.76
Tc  0.2500  0.2500  0.2500 x4  4 Cd 2.76, 4 Tc 2.76
Pt  0.2500  0.2500  0.7500 x4  4 Cd 2.76, 4 Tc 2.76

- Crystal system: cubic
- ΔH_f (0 K): 0.328 eV/atom
- Magnetic moment: 7.91 μB per cell

---

3.
This record from the Open Quantum Materials Database describes crystalline NaCuTePbSe2 at its relaxed geometry. The functional is PBE.

Cell: 3.9499 13.7174 11.9136 Å, 90.00 90.00 90.00°
With the nearest neighbours (Å) after each atom.
Space group Cmcm (No. 63)
Inequivalent atoms, fractional coordinates:
Na  0.0000  0.2280  0.2500 x4  4 Se 3.08, 2 Cu 3.16, 2 Te 3.29
Cu  0.0000  0.4521  0.7500 x4  2 Se 2.40, 2 Te 2.65
Te  0.0000  0.0805  0.7500 x4  2 Cu 2.65
Pb  0.0000  0.0000  0.0000 x4  4 Se 2.92, 2 Te 3.18
Se  0.0000  0.3594  0.5788 x8  1 Cu 2.40

- Crystal system: orthorhombic
- Total DFT energy (no corrections): -3.487 eV/atom

---

4.
This record from the Open Quantum Materials Database describes crystalline YHfAl2Pd4 at its relaxed geometry. The functional is PBE.

Cell: 4.3261 4.3261 8.9128 Å, 90.00 90.00 120.00°
With the nearest neighbours (Å) after each atom.
Space group P-6m2 (No. 187)
Inequivalent atoms, fractional coordinates:
Y  0.0000  0.0000  0.0000 x1  8 Pd 2.97-3.06
Hf  0.3333  0.6667  0.5000 x1  8 Pd 2.86
Al  0.6667  0.3333  0.2617 x2  6 Pd 2.60
Pd  0.0000  0.0000  0.3438 x2  3 Al 2.60, 4 Pd 2.78-2.90, 3 Hf 2.86
Pd  0.3333  0.6667  0.1793 x2  3 Al 2.60, 1 Hf 2.86, 3 Pd 2.90

- Crystal system: hexagonal
- Total DFT energy (no corrections): -6.453 eV/atom
- Magnetic moment: 0.02 μB per cell

---

5.
This record from the Open Quantum Materials Database describes crystalline AcTmZn at its relaxed geometry. The functional is PBE.

Cell: 7.2952 7.2952 7.2952 Å, 90.00 90.00 90.00°
With the nearest neighbours (Å) after each atom.
Space group F-43m (No. 216)
Inequivalent atoms, fractional coordinates:
Ac  0.0000  0.0000  0.0000 x4  4 Zn 3.16
Tm  0.0000  0.0000  0.5000 x4  4 Zn 3.16
Zn  0.2500  0.2500  0.2500 x4  4 Ac 3.16, 4 Tm 3.16

- ΔE to the lowest computed polymorph: 0.000 eV/atom
- Crystal system: cubic
- ΔH_f (0 K): 0.064 eV/atom
- Magnetic moment: 0.06 μB per cell

---

6.
This record from the Open Quantum Materials Database describes crystalline Sc2HgGe at its relaxed geometry. The functional is PBE.

Cell: 7.0191 7.0191 7.0191 Å, 90.00 90.00 90.00°
With the nearest neighbours (Å) after each atom.
Space group F-43m (No. 216)
Inequivalent atoms, fractional coordinates:
Sc  0.0000  0.0000  0.0000 x4  4 Hg 3.04, 4 Sc 3.04
Sc  0.2500  0.2500  0.2500 x4  4 Ge 3.04, 4 Sc 3.04
Hg  0.2500  0.2500  0.7500 x4  4 Ge 3.04, 4 Sc 3.04
Ge  0.0000  0.0000  0.5000 x4  4 Hg 3.04, 4 Sc 3.04

- Crystal system: cubic
- Total DFT energy (no corrections): -4.344 eV/atom
- Magnetic moment: 4.85 μB per cell

---

7.
This record from the Open Quantum Materials Database describes crystalline PrNiOs at its relaxed geometry. The functional is PBE.

Cell: 6.4131 6.4131 6.4131 Å, 90.00 90.00 90.00°
With the nearest neighbours (Å) after each atom.
Space group F-43m (No. 216)
Inequivalent atoms, fractional coordinates:
Pr  0.0000  0.0000  0.0000 x4  4 Os 2.78, 4 Ni 2.78
Ni  0.2500  0.2500  0.7500 x4  4 Pr 2.78
Os  0.2500  0.2500  0.2500 x4  4 Pr 2.78

- ΔE to the lowest computed polymorph: 0.744 eV/atom
- Crystal system: cubic
- ΔH_f (0 K): 1.270 eV/atom
- Magnetic moment: 3.10 μB per cell

---

8.
This record from the Open Quantum Materials Database describes crystalline HoZrMo2C3 at its relaxed geometry. The functional is PBE.

Cell: 11.3035 3.3013 5.5672 Å, 90.00 109.47 90.00°
With the nearest neighbours (Å) after each atom.
Space group Cm (No. 8)
Inequivalent atoms, fractional coordinates:
Ho  0.0000  0.0000  0.0000 x2  5 C 2.37-2.53
Zr  0.2345  0.0000  0.6356 x2  5 C 2.28-2.42
Mo  0.2600  0.5000  0.1780 x2  4 C 2.07-2.11
Mo  0.4646  0.0000  0.4503 x2  4 C 2.04-2.14
C  0.1165  0.5000  0.3305 x2  2 Mo 2.04-2.07
C  0.3430  0.0000  0.0617 x2  3 Mo 2.10-2.14, 1 Zr 2.28
C  0.3753  0.5000  0.5637 x2  3 Mo 2.11-2.14

- Crystal system: monoclinic
- Total DFT energy (no corrections): -9.301 eV/atom
- Magnetic moment: 0.03 μB per cell

---

9.
This record from the Open Quantum Materials Database describes crystalline TbAu6 at its relaxed geometry. The functional is PBE.

Cell: 10.4197 10.4197 9.8059 Å, 90.00 90.00 90.00°
With the nearest neighbours (Å) after each atom.
Space group P4_2/ncm (No. 138, origin choice 2)
Inequivalent atoms, fractional coordinates:
Tb  0.0746  0.0746  0.2117 x8  11 Au 3.01-3.22
Au  0.0000  0.0000  0.5000 x4  6 Au 2.80-2.82, 2 Tb 3.03
Au  0.0134  0.6802  0.5792 x16  7 Au 2.78-2.94, 1 Tb 3.02
Au  0.1224  0.6993  0.8549 x16  9 Au 2.78-3.06
Au  0.1484  0.1484  0.6784 x8  8 Au 2.80-3.00, 2 Tb 3.01
Au  0.2500  0.2500  0.4329 x4  8 Au 2.83-2.91

- Crystal system: tetragonal
- ΔH_f (0 K): -0.420 eV/atom
- Magnetic moment: 0.04 μB per cell

---

10.
This record from the Open Quantum Materials Database describes crystalline Mg2Pa at its relaxed geometry. The functional is PBE.

Cell: 3.0553 17.8102 5.1565 Å, 90.00 90.00 90.00°
With the nearest neighbours (Å) after each atom.
Space group Cmcm (No. 63)
Inequivalent atoms, fractional coordinates:
Mg  0.0000  0.1252  0.2500 x4  6 Mg 3.04-3.22, 6 Pa 3.27-3.39
Mg  0.0000  0.2157  0.7500 x4  10 Mg 3.04-3.24
Pa  0.0000  0.4632  0.2500 x4  4 Pa 2.89-3.06

- Crystal system: orthorhombic
- Total DFT energy (no corrections): -4.050 eV/atom
- Magnetic moment: 0.26 μB per cell

---

11.
This record from the Open Quantum Materials Database describes crystalline KCoB at its relaxed geometry. The functional is PBE.

Cell: 5.8960 5.8960 5.8960 Å, 90.00 90.00 90.00°
With the nearest neighbours (Å) after each atom.
Space group F-43m (No. 216)
Inequivalent atoms, fractional coordinates:
K  0.0000  0.0000  0.0000 x4  4 Co 2.55
Co  0.2500  0.2500  0.7500 x4  4 B 2.55, 4 K 2.55
B  0.0000  0.0000  0.5000 x4  4 Co 2.55

- ΔE to the lowest computed polymorph: 0.000 eV/atom
- Crystal system: cubic
- Magnetic moment: 2.68 μB per cell

---

12.
This record from the Open Quantum Materials Database describes crystalline PmPrSn at its relaxed geometry. The functional is PBE.

Cell: 7.5052 7.5052 7.5052 Å, 90.00 90.00 90.00°
With the nearest neighbours (Å) after each atom.
Space group F-43m (No. 216)
Inequivalent atoms, fractional coordinates:
Pm  0.0000  0.0000  0.0000 x4  4 Sn 3.25
Pr  0.0000  0.0000  0.5000 x4  4 Sn 3.25
Sn  0.2500  0.2500  0.2500 x4  4 Pr 3.25, 4 Pm 3.25

- Crystal system: cubic
- Total DFT energy (no corrections): -4.949 eV/atom
- Magnetic moment: 0.09 μB per cell

---

13.
This record from the Open Quantum Materials Database describes crystalline Ta2Bi3Mo4C3 at its relaxed geometry. The functional is PBE.

Cell: 9.7869 5.6396 15.0133 Å, 90.00 105.49 90.00°
With the nearest neighbours (Å) after each atom.
Space group C2/c (No. 15)
Inequivalent atoms, fractional coordinates:
Ta  0.1324  0.1655  0.4238 x8  3 C 2.16-2.18
Bi  0.0000  0.1322  0.7500 x4  2 Mo 2.95, 2 Ta 3.08, 6 Bi 3.23-3.28
Bi  0.1640  0.3721  0.2449 x8  3 Mo 2.90-3.21, 1 Ta 3.02, 1 Bi 3.23
Mo  0.0244  0.3388  0.5742 x8  3 C 2.13-2.19
Mo  0.1953  0.1769  0.0728 x8  3 C 2.13-2.20
C  0.0000  0.0000  0.0000 x4  2 Ta 2.16, 4 Mo 2.17-2.19
C  0.1680  0.4951  0.5004 x8  4 Mo 2.13-2.20, 2 Ta 2.17-2.18

- Crystal system: monoclinic
- Total DFT energy (no corrections): -8.793 eV/atom
- Magnetic moment: 0.01 μB per cell

---

14.
This record from the Open Quantum Materials Database describes crystalline PmTcNO at its relaxed geometry. The functional is PBE.

Cell: 3.4827 3.4827 4.5107 Å, 90.00 90.00 90.00°
With the nearest neighbours (Å) after each atom.
Space group P4/mmm (No. 123)
Inequivalent atoms, fractional coordinates:
Pm  0.0000  0.0000  0.0000 x1  2 O 2.26, 4 N 2.46
Tc  0.5000  0.5000  0.5000 x1  2 N 2.26, 4 O 2.46
N  0.5000  0.5000  0.0000 x1  2 Tc 2.26, 4 Pm 2.46
O  0.0000  0.0000  0.5000 x1  2 Pm 2.26, 4 Tc 2.46

- ΔE to the lowest computed polymorph: 0.715 eV/atom
- Crystal system: tetragonal
- Magnetic moment: 2.45 μB per cell

---

15.
This record from the Open Quantum Materials Database describes crystalline GeOs at its relaxed geometry. The functional is PBE.

Cell: 3.0018 3.0018 3.8198 Å, 90.00 90.00 120.00°
With the nearest neighbours (Å) after each atom.
Space group P-6m2 (No. 187)
Inequivalent atoms, fractional coordinates:
Ge  0.0000  0.0000  0.0000 x1  6 Os 2.58
Os  0.6667  0.3333  0.5000 x1  6 Ge 2.58

- Crystal system: hexagonal
- Total DFT energy (no corrections): -7.708 eV/atom
- Magnetic moment: 0.00 μB per cell

---

16.
This record from the Open Quantum Materials Database describes crystalline CoSiTcPd at its relaxed geometry. The functional is PBE.

Cell: 5.9611 5.9611 5.9611 Å, 90.00 90.00 90.00°
With the nearest neighbours (Å) after each atom.
Space group F-43m (No. 216)
Inequivalent atoms, fractional coordinates:
Co  0.0000  0.0000  0.0000 x4  4 Pd 2.58, 4 Si 2.58
Si  0.2500  0.2500  0.7500 x4  4 Co 2.58, 4 Tc 2.58
Tc  0.0000  0.0000  0.5000 x4  4 Pd 2.58, 4 Si 2.58
Pd  0.2500  0.2500  0.2500 x4  4 Co 2.58, 4 Tc 2.58

- ΔE to the lowest computed polymorph: 0.000 eV/atom
- Crystal system: cubic
- Magnetic moment: 4.35 μB per cell

---

17.
This record from the Open Quantum Materials Database describes crystalline Hf2HgPt at its relaxed geometry. The functional is PBE.

Cell: 6.7372 6.7372 6.7372 Å, 90.00 90.00 90.00°
With the nearest neighbours (Å) after each atom.
Space group F-43m (No. 216)
Inequivalent atoms, fractional coordinates:
Hf  0.0000  0.0000  0.0000 x4  4 Hf 2.92, 4 Hg 2.92
Hf  0.2500  0.2500  0.2500 x4  4 Hf 2.92, 4 Pt 2.92
Hg  0.2500  0.2500  0.7500 x4  4 Hf 2.92, 4 Pt 2.92
Pt  0.0000  0.0000  0.5000 x4  4 Hg 2.92, 4 Hf 2.92

- Crystal system: cubic
- ΔH_f (0 K): -0.133 eV/atom
- Magnetic moment: 8.00 μB per cell

---

18.
This record from the Open Quantum Materials Database describes crystalline LiCuTcS3 at its relaxed geometry. The functional is PBE.

Cell: 11.6376 3.4691 9.6830 Å, 90.00 90.00 90.00°
With the nearest neighbours (Å) after each atom.
Space group Pnma (No. 62)
Inequivalent atoms, fractional coordinates:
Li  0.2391  0.2500  0.0626 x4  6 S 2.57-2.88
Cu  0.0181  0.7500  0.0955 x4  4 S 2.21-2.37
Tc  0.0034  0.2500  0.3215 x4  6 S 2.38-2.51
S  0.0979  0.2500  0.5545 x4  3 Tc 2.42-2.51, 2 Li 2.57
S  0.1143  0.7500  0.8792 x4  3 Cu 2.33-2.37, 1 Tc 2.38
S  0.1427  0.7500  0.2676 x4  1 Cu 2.21, 2 Tc 2.43

- ΔE to the lowest computed polymorph: 0.000 eV/atom
- Crystal system: orthorhombic
- Magnetic moment: 0.84 μB per cell

---

19.
This record from the Open Quantum Materials Database describes crystalline GdYGa2Ag2 at its relaxed geometry. The functional is PBE.

Cell: 4.6108 4.6108 7.0559 Å, 90.00 90.00 120.00°
With the nearest neighbours (Å) after each atom.
Space group P-6m2 (No. 187)
Inequivalent atoms, fractional coordinates:
Gd  0.0000  0.0000  0.0000 x1  6 Ga 3.08, 6 Ag 3.23
Y  0.0000  0.0000  0.5000 x1  6 Ag 3.16, 6 Ga 3.32, 2 Gd 3.53
Ga  0.3333  0.6667  0.2186 x2  3 Ag 2.68
Ag  0.6667  0.3333  0.2595 x2  3 Ga 2.68

- Crystal system: hexagonal
- Total DFT energy (no corrections): -4.318 eV/atom
- Magnetic moment: 0.00 μB per cell

---

20.
This record from the Open Quantum Materials Database describes crystalline NdSiW at its relaxed geometry. The functional is PBE.

Cell: 6.4380 6.4380 6.4380 Å, 90.00 90.00 90.00°
With the nearest neighbours (Å) after each atom.
Space group F-43m (No. 216)
Inequivalent atoms, fractional coordinates:
Nd  0.0000  0.0000  0.0000 x4  4 Si 2.79
Si  0.2500  0.2500  0.2500 x4  4 W 2.79, 4 Nd 2.79
W  0.0000  0.0000  0.5000 x4  4 Si 2.79

- Crystal system: cubic
- Total DFT energy (no corrections): -7.276 eV/atom
- Magnetic moment: 2.04 μB per cell